1) Density functional theory data (PBE) for a relaxed MgFeCoTe3 crystal.

Cell lengths 3.7773, 13.1204, 10.1945 Å; angles 90.00, 90.00, 90.00 degrees
Space group Cmcm (No. 63)
Asymmetric unit:
Mg (0.0000, 0.2127, 0.2500) [4 per cell]
Fe (0.0000, 0.0000, 0.0000) [4 per cell]
Co (0.0000, 0.4432, 0.7500) [4 per cell]
Te (0.0000, 0.0730, 0.7500) [4 per cell]
Te (0.0000, 0.3634, 0.5294) [8 per cell]

2) Density functional theory data (PBE) for a relaxed MgFeCoTe3 crystal.

Cell lengths 3.7428, 13.1322, 10.3762 Å; angles 90.00, 90.00, 90.00 degrees
Space group Cmcm (No. 63)
Asymmetric unit:
Mg (0.0000, 0.2342, 0.2500) [4 per cell]
Fe (0.0000, 0.4257, 0.7500) [4 per cell]
Co (0.0000, 0.0000, 0.0000) [4 per cell]
Te (0.0000, 0.0642, 0.7500) [4 per cell]
Te (0.0000, 0.3652, 0.5205) [8 per cell]

The most stable of them is 2).

1) Density functional theory data (PBE) for a relaxed ZnFeCoMo crystal.

Cell lengths 5.8359, 5.8359, 5.8359 Å; angles 90.00, 90.00, 90.00 degrees
Space group F-43m (No. 216)
Asymmetric unit:
Zn (0.0000, 0.0000, 0.0000) [4 per cell]
Fe (0.2500, 0.2500, 0.7500) [4 per cell]
Co (0.2500, 0.2500, 0.2500) [4 per cell]
Mo (0.0000, 0.0000, 0.5000) [4 per cell]

2) Density functional theory data (PBE) for a relaxed ZnFeCoMo crystal.

Cell lengths 5.9152, 5.9152, 5.9152 Å; angles 90.00, 90.00, 90.00 degrees
Space group F-43m (No. 216)
Asymmetric unit:
Zn (0.0000, 0.0000, 0.0000) [4 per cell]
Fe (0.2500, 0.2500, 0.2500) [4 per cell]
Co (0.0000, 0.0000, 0.5000) [4 per cell]
Mo (0.2500, 0.2500, 0.7500) [4 per cell]

The most stable of them is 1).

1) Density functional theory data (PBE) for a relaxed NbFeCo crystal.

Cell lengths 5.6642, 5.6642, 5.6642 Å; angles 90.00, 90.00, 90.00 degrees
Space group F-43m (No. 216)
Asymmetric unit:
Nb (0.0000, 0.0000, 0.0000) [4 per cell]
Fe (0.2500, 0.2500, 0.2500) [4 per cell]
Co (0.2500, 0.2500, 0.7500) [4 per cell]

2) Density functional theory data (PBE) for a relaxed NbFeCo crystal.

Cell lengths 5.6012, 5.6012, 5.6012 Å; angles 90.00, 90.00, 90.00 degrees
Space group F-43m (No. 216)
Asymmetric unit:
Nb (0.0000, 0.0000, 0.0000) [4 per cell]
Fe (0.0000, 0.0000, 0.5000) [4 per cell]
Co (0.2500, 0.2500, 0.7500) [4 per cell]

The most stable of them is 2).

1) Density functional theory data (PBE) for a relaxed NbFeCoPb crystal.

Cell lengths 6.3719, 6.3719, 6.3719 Å; angles 90.00, 90.00, 90.00 degrees
Space group F-43m (No. 216)
Asymmetric unit:
Nb (0.0000, 0.0000, 0.0000) [4 per cell]
Fe (0.2500, 0.2500, 0.7500) [4 per cell]
Co (0.0000, 0.0000, 0.5000) [4 per cell]
Pb (0.2500, 0.2500, 0.2500) [4 per cell]

2) Density functional theory data (PBE) for a relaxed NbFeCoPb crystal.

Cell lengths 6.2576, 6.2576, 6.2576 Å; angles 90.00, 90.00, 90.00 degrees
Space group F-43m (No. 216)
Asymmetric unit:
Nb (0.0000, 0.0000, 0.0000) [4 per cell]
Fe (0.2500, 0.2500, 0.2500) [4 per cell]
Co (0.2500, 0.2500, 0.7500) [4 per cell]
Pb (0.0000, 0.0000, 0.5000) [4 per cell]

The most stable of them is 2).

1) Density functional theory data (PBE) for a relaxed NbTlFeCo crystal.

Cell lengths 6.2095, 6.2095, 6.2095 Å; angles 90.00, 90.00, 90.00 degrees
Space group F-43m (No. 216)
Asymmetric unit:
Nb (0.0000, 0.0000, 0.0000) [4 per cell]
Tl (0.0000, 0.0000, 0.5000) [4 per cell]
Fe (0.2500, 0.2500, 0.2500) [4 per cell]
Co (0.2500, 0.2500, 0.7500) [4 per cell]

2) Density functional theory data (PBE) for a relaxed NbTlFeCo crystal.

Cell lengths 6.3267, 6.3267, 6.3267 Å; angles 90.00, 90.00, 90.00 degrees
Space group F-43m (No. 216)
Asymmetric unit:
Nb (0.0000, 0.0000, 0.0000) [4 per cell]
Tl (0.2500, 0.2500, 0.2500) [4 per cell]
Fe (0.2500, 0.2500, 0.7500) [4 per cell]
Co (0.0000, 0.0000, 0.5000) [4 per cell]

The most stable of them is 1).

1) Density functional theory data (PBE) for a relaxed NdFeCo crystal.

Cell lengths 6.1766, 6.1766, 6.1766 Å; angles 90.00, 90.00, 90.00 degrees
Space group F-43m (No. 216)
Asymmetric unit:
Nd (0.0000, 0.0000, 0.0000) [4 per cell]
Fe (0.2500, 0.2500, 0.2500) [4 per cell]
Co (0.2500, 0.2500, 0.7500) [4 per cell]

2) Density functional theory data (PBE) for a relaxed NdFeCo crystal.

Cell lengths 6.1894, 6.1894, 6.1894 Å; angles 90.00, 90.00, 90.00 degrees
Space group F-43m (No. 216)
Asymmetric unit:
Nd (0.0000, 0.0000, 0.0000) [4 per cell]
Fe (0.2500, 0.2500, 0.7500) [4 per cell]
Co (0.0000, 0.0000, 0.5000) [4 per cell]

The most stable of them is 2).